Entry 1:
# ErTaN2

A relaxed ErTaN2 crystal (GGA-PBE, Alexandria).

Cell: 5.6457 3.2202 10.9571 Å, 90.00 90.00 90.00°
Positions (direct):
Er  0.0889  0.2500  0.1364
Er  0.4111  0.7500  0.6364
Er  0.5889  0.2500  0.3636
Er  0.9111  0.7500  0.8636
Ta  0.0832  0.7500  0.3874
Ta  0.4168  0.2500  0.8874
Ta  0.5832  0.7500  0.1126
Ta  0.9168  0.2500  0.6126
N  0.1599  0.2500  0.7568
N  0.2479  0.2500  0.4970
N  0.2521  0.7500  0.9970
N  0.3401  0.7500  0.2568
N  0.6599  0.2500  0.7432
N  0.7479  0.2500  0.0030
N  0.7521  0.7500  0.5030
N  0.8401  0.7500  0.2432

Fermi-level density of states ... 0.6 states/eV/f.u.
Space group ... Pnma (62)
Energy relative to the elements, uncorrected ... -1477 meV/atom

***

Entry 2:
# ErTa4N6

A relaxed ErTa4N6 crystal (GGA-PBE, Alexandria).

Cell: 5.3604 5.3604 15.6706 Å, 90.00 90.00 146.20°
Positions (direct):
Er  0.1534  0.8466  0.7500
Er  0.8466  0.1534  0.2500
Ta  0.1019  0.8981  0.1313
Ta  0.1019  0.8981  0.3687
Ta  0.3540  0.6460  0.0420
Ta  0.3540  0.6460  0.4580
Ta  0.6460  0.3540  0.5420
Ta  0.6460  0.3540  0.9580
Ta  0.8981  0.1019  0.6313
Ta  0.8981  0.1019  0.8687
N  0.0000  0.0000  0.0000
N  0.0000  0.0000  0.5000
N  0.1751  0.8249  0.2500
N  0.2640  0.7360  0.5941
N  0.2640  0.7360  0.9059
N  0.4631  0.5369  0.1589
N  0.4631  0.5369  0.3411
N  0.5369  0.4631  0.6589
N  0.5369  0.4631  0.8411
N  0.7360  0.2640  0.0941
N  0.7360  0.2640  0.4059
N  0.8249  0.1751  0.7500

Fermi-level density of states ... 1.7 states/eV/f.u.
Space group ... Cmcm (63)
Energy relative to the elements, uncorrected ... -1223 meV/atom

***

Entry 3:
# Er2TaN3

A relaxed Er2TaN3 crystal (GGA-PBE, Alexandria).

Cell: 10.8958 10.3856 5.7197 Å, 79.40 69.54 31.06°
Positions (direct):
Er  0.0423  0.0423  0.2077
Er  0.1239  0.1239  0.6261
Er  0.2077  0.2077  0.0423
Er  0.3739  0.3739  0.8761
Er  0.6261  0.6261  0.1239
Er  0.7923  0.7923  0.9577
Er  0.8761  0.8761  0.3739
Er  0.9577  0.9577  0.7923
Ta  0.2917  0.2917  0.4583
Ta  0.4583  0.4583  0.2917
Ta  0.5417  0.5417  0.7083
Ta  0.7083  0.7083  0.5417
N  0.0361  0.5403  0.2327
N  0.1462  0.6038  0.6038
N  0.2327  0.6909  0.0361
N  0.3091  0.7673  0.4597
N  0.3962  0.8538  0.8538
N  0.4597  0.9639  0.3091
N  0.5403  0.0361  0.6909
N  0.6038  0.1462  0.1462
N  0.6909  0.2327  0.5403
N  0.7673  0.3091  0.9639
N  0.8538  0.3962  0.3962
N  0.9639  0.4597  0.7673

Fermi-level density of states ... 1.7 states/eV/f.u.
Space group ... Fddd (70)
Energy relative to the elements, uncorrected ... -1540 meV/atom